(1)
# Ca2NiGeN, relaxed, DFT PBE-GGA
# E_form (uncorrected)   -0.540 eV/atom
# Crystal system   tetragonal
# Calculated density   4.02 g/cm3
data_Ca2NiGeN
_cell_length_a 5.134
_cell_length_b 5.134
_cell_length_c 3.535
_cell_angle_alpha 90.00
_cell_angle_beta 90.00
_cell_angle_gamma 90.00
_symmetry_space_group_name_H-M 'P 4/m m m'
_symmetry_Int_Tables_number 123
_symmetry_space_group_name_Hall '-P 4 2'
loop_
_atom_site_label
_atom_site_fract_x
_atom_site_fract_y
_atom_site_fract_z
_atom_site_occupancy
Ca1 0.000 0.500 0.000 1
Ni1 0.000 0.000 0.500 1
Ge1 0.500 0.500 0.500 1
N1 0.000 0.000 0.000 1

(2)
# RhPb2NF, relaxed, DFT PBE-GGA
# E_form (uncorrected)   0.392 eV/atom
# Crystal system   tetragonal
# Calculated density   10.44 g/cm3
data_RhPb2NF
_cell_length_a 4.945
_cell_length_b 4.945
_cell_length_c 3.581
_cell_angle_alpha 90.00
_cell_angle_beta 90.00
_cell_angle_gamma 90.00
_symmetry_space_group_name_H-M 'P 4/m m m'
_symmetry_Int_Tables_number 123
_symmetry_space_group_name_Hall '-P 4 2'
loop_
_atom_site_label
_atom_site_fract_x
_atom_site_fract_y
_atom_site_fract_z
_atom_site_occupancy
Rh1 0.000 0.000 0.000 1
Pb1 0.000 0.500 0.500 1
N1 0.500 0.500 0.500 1
F1 0.500 0.500 0.000 1

(3)
# PPb2BrCl, relaxed, DFT PBE-GGA
# E_form (uncorrected)   0.392 eV/atom
# Crystal system   tetragonal
# Calculated density   5.97 g/cm3
data_PPb2BrCl
_cell_length_a 5.718
_cell_length_b 5.718
_cell_length_c 4.772
_cell_angle_alpha 90.00
_cell_angle_beta 90.00
_cell_angle_gamma 90.00
_symmetry_space_group_name_H-M 'P 4/m m m'
_symmetry_Int_Tables_number 123
_symmetry_space_group_name_Hall '-P 4 2'
loop_
_atom_site_label
_atom_site_fract_x
_atom_site_fract_y
_atom_site_fract_z
_atom_site_occupancy
P1 0.000 0.000 0.000 1
Pb1 0.000 0.500 0.500 1
Br1 0.500 0.500 0.000 1
Cl1 0.000 0.000 0.500 1

(4)
# CaN2F2, relaxed, DFT PBE-GGA
# E_form (uncorrected)   -2.278 eV/atom
# Crystal system   monoclinic
# Calculated density   1.85 g/cm3
data_CaN2F2
_cell_length_a 6.280
_cell_length_b 3.634
_cell_length_c 8.506
_cell_angle_alpha 90.00
_cell_angle_beta 101.08
_cell_angle_gamma 90.00
_symmetry_space_group_name_H-M 'C 1 2/m 1'
_symmetry_Int_Tables_number 12
loop_
_symmetry_equiv_pos_as_xyz
'x,y,z'
'-x,-y,-z'
'-x,y,-z'
'x,-y,z'
'x+1/2,y+1/2,z'
'-x+1/2,-y+1/2,-z'
'-x+1/2,y+1/2,-z'
'x+1/2,-y+1/2,z'
loop_
_atom_site_label
_atom_site_fract_x
_atom_site_fract_y
_atom_site_fract_z
_atom_site_occupancy
Ca1 0.000 0.000 0.000 1
N1 0.044 0.500 0.564 1
F1 0.196 0.500 0.114 1

(5)
# CeThPaAl, relaxed, DFT PBE-GGA
# Crystal system   cubic
# Calculated density   10.12 g/cm3
# Formation energy   0.63 eV/f.u.
data_CeThPaAl
_cell_length_a 7.450
_cell_length_b 7.450
_cell_length_c 7.450
_cell_angle_alpha 90.00
_cell_angle_beta 90.00
_cell_angle_gamma 90.00
_symmetry_space_group_name_H-M 'F -4 3 m'
_symmetry_Int_Tables_number 216
_symmetry_space_group_name_Hall 'F -4 2 3'
loop_
_atom_site_label
_atom_site_fract_x
_atom_site_fract_y
_atom_site_fract_z
_atom_site_occupancy
Ce1 0.000 0.000 0.000 1
Th1 0.250 0.250 0.250 1
Pa1 0.000 0.000 0.500 1
Al1 0.250 0.250 0.750 1

(6)
# LaNd4Tm, relaxed, DFT PBE-GGA
# Crystal system   monoclinic
# Calculated density   6.92 g/cm3
# Formation energy   1.05 eV/f.u.
data_LaNd4Tm
_cell_length_a 11.959
_cell_length_b 3.487
_cell_length_c 11.679
_cell_angle_alpha 90.00
_cell_angle_beta 119.38
_cell_angle_gamma 90.00
_symmetry_space_group_name_H-M 'C 1 2/m 1'
_symmetry_Int_Tables_number 12
loop_
_symmetry_equiv_pos_as_xyz
'x,y,z'
'-x,-y,-z'
'-x,y,-z'
'x,-y,z'
'x+1/2,y+1/2,z'
'-x+1/2,-y+1/2,-z'
'-x+1/2,y+1/2,-z'
'x+1/2,-y+1/2,z'
loop_
_atom_site_label
_atom_site_fract_x
_atom_site_fract_y
_atom_site_fract_z
_atom_site_occupancy
La1 0.000 0.000 0.000 1
Nd1 0.186 0.000 0.841 1
Nd2 0.193 0.000 0.348 1
Tm1 0.000 0.000 0.500 1

(7)
# Mn3TlCl9, relaxed, DFT PBE-GGA
# E_form (uncorrected)   -0.930 eV/atom
# Crystal system   monoclinic
# Calculated density   2.43 g/cm3
data_Mn3TlCl9
_cell_length_a 20.372
_cell_length_b 8.587
_cell_length_c 13.553
_cell_angle_alpha 90.00
_cell_angle_beta 127.44
_cell_angle_gamma 90.00
_symmetry_space_group_name_H-M 'C 1 c 1'
_symmetry_Int_Tables_number 9
loop_
_symmetry_equiv_pos_as_xyz
'x,y,z'
'x,-y,z+1/2'
'x+1/2,y+1/2,z'
'x+1/2,-y+1/2,z+1/2'
loop_
_atom_site_label
_atom_site_fract_x
_atom_site_fract_y
_atom_site_fract_z
_atom_site_occupancy
Mn1 0.000 0.078 0.000 1
Mn2 0.127 0.422 0.968 1
Mn3 0.423 0.112 0.636 1
Tl1 0.257 0.212 0.789 1
Cl1 0.047 0.191 0.899 1
Cl2 0.059 0.383 0.311 1
Cl3 0.119 0.061 0.187 1
Cl4 0.130 0.473 0.621 1
Cl5 0.236 0.352 0.980 1
Cl6 0.301 0.111 0.598 1
Cl7 0.406 0.436 0.839 1
Cl8 0.416 0.361 0.557 1
Cl9 0.424 0.106 0.051 1

(8)
# Ce6HgRu, relaxed, DFT PBE-GGA
# Crystal system   monoclinic
# Calculated density   8.59 g/cm3
# Formation energy   -0.47 eV/f.u.
data_Ce6HgRu
_cell_length_a 7.778
_cell_length_b 9.514
_cell_length_c 6.259
_cell_angle_alpha 90.00
_cell_angle_beta 107.46
_cell_angle_gamma 90.00
_symmetry_space_group_name_H-M 'C 1 2/m 1'
_symmetry_Int_Tables_number 12
loop_
_symmetry_equiv_pos_as_xyz
'x,y,z'
'-x,-y,-z'
'-x,y,-z'
'x,-y,z'
'x+1/2,y+1/2,z'
'-x+1/2,-y+1/2,-z'
'-x+1/2,y+1/2,-z'
'x+1/2,-y+1/2,z'
loop_
_atom_site_label
_atom_site_fract_x
_atom_site_fract_y
_atom_site_fract_z
_atom_site_occupancy
Ce1 0.122 0.207 0.307 1
Ce2 0.185 0.500 0.098 1
Hg1 0.000 0.500 0.500 1
Ru1 0.000 0.000 0.000 1

(9)
# Mg2Sn2Rh, relaxed, DFT PBE-GGA
# Crystal system   monoclinic
# Calculated density   5.70 g/cm3
# Formation energy   -1.50 eV/f.u.
data_Mg2Sn2Rh
_cell_length_a 6.076
_cell_length_b 4.407
_cell_length_c 8.571
_cell_angle_alpha 90.00
_cell_angle_beta 98.95
_cell_angle_gamma 90.00
_symmetry_space_group_name_H-M 'P 1 21/m 1'
_symmetry_Int_Tables_number 11
loop_
_symmetry_equiv_pos_as_xyz
'x,y,z'
'-x,-y,-z'
'-x,y+1/2,-z'
'x,-y+1/2,z'
loop_
_atom_site_label
_atom_site_fract_x
_atom_site_fract_y
_atom_site_fract_z
_atom_site_occupancy
Mg1 0.033 0.250 0.131 1
Mg2 0.395 0.250 0.597 1
Sn1 0.101 0.750 0.395 1
Sn2 0.473 0.750 0.866 1
Rh1 0.219 0.250 0.862 1

(10)
# RbBaMg2P, relaxed, DFT PBE-GGA
# Crystal system   tetragonal
# Calculated density   1.95 g/cm3
# Formation energy   2.29 eV/f.u.
data_RbBaMg2P
_cell_length_a 6.713
_cell_length_b 6.713
_cell_length_c 5.716
_cell_angle_alpha 90.00
_cell_angle_beta 90.00
_cell_angle_gamma 90.00
_symmetry_space_group_name_H-M 'P 4/m m m'
_symmetry_Int_Tables_number 123
_symmetry_space_group_name_Hall '-P 4 2'
loop_
_atom_site_label
_atom_site_fract_x
_atom_site_fract_y
_atom_site_fract_z
_atom_site_occupancy
Rb1 0.000 0.000 0.000 1
Ba1 0.500 0.500 0.500 1
Mg1 0.000 0.500 0.500 1
P1 0.500 0.500 0.000 1

(11)
# PmTl2Bi, relaxed, DFT PBE-GGA
# Crystal system   trigonal
# Calculated density   9.53 g/cm3
# Formation energy   0.35 eV/f.u.
data_PmTl2Bi
_cell_length_a 3.5557
_cell_length_b 3.5557
_cell_length_c 36.4020
_cell_angle_alpha 90.00
_cell_angle_beta 90.00
_cell_angle_gamma 120.00
_symmetry_space_group_name_H-M 'R -3 m'
_symmetry_Int_Tables_number 166
_symmetry_space_group_name_Hall '-R 3 2"'
loop_
_atom_site_label
_atom_site_fract_x
_atom_site_fract_y
_atom_site_fract_z
_atom_site_occupancy
Pm1 0.0000 0.0000 0.0000 1
Tl1 0.0000 0.0000 0.0892 1
Bi1 0.0000 0.0000 0.5000 1

(12)
# Hf2ScAs2, relaxed, DFT PBE-GGA
# Crystal system   tetragonal
# Calculated density   9.61 g/cm3
# Formation energy   -4.66 eV/f.u.
data_Hf2ScAs2
_cell_length_a 7.280
_cell_length_b 7.280
_cell_length_c 3.600
_cell_angle_alpha 90.00
_cell_angle_beta 90.00
_cell_angle_gamma 90.00
_symmetry_space_group_name_H-M 'P 4/m b m'
_symmetry_Int_Tables_number 127
_symmetry_space_group_name_Hall '-P 4 2ab'
loop_
_atom_site_label
_atom_site_fract_x
_atom_site_fract_y
_atom_site_fract_z
_atom_site_occupancy
Hf1 0.154 0.346 0.000 1
Sc1 0.000 0.000 0.500 1
As1 0.144 0.644 0.500 1

no.,M_tot (μB/cell)
1,0.00
2,0.00
3,0.00
4,0.07
5,0.01
6,0.00
7,52.00
8,4.44
9,0.00
10,0.00
11,0.00
12,0.00